No. 1
Density functional theory data (PBE) for an optimized crystal structure of CaPaN2.

```
CaPaN2
1.0
-0.8258 3.2684 -0.4234
-2.5986 -0.3757 2.1684
4.5763 0.1031 5.5021
Ca Pa N
1 1 2
Direct
0.4767 0.0000 0.9534 Ca
0.7909 0.5000 0.5818 Pa
0.9380 0.5000 0.8760 N
0.2944 0.0000 0.5888 N
```

## Properties
Formation energy without anion corrections, kJ/mol of atoms: -115.1
SG: No. 38



No. 2
Density functional theory data (PBE) for an optimized crystal structure of Pr2Sm4Y5.

```
Pr2Sm4Y5
1.0
7.5459 0.0000 0.0000
3.7730 5.5820 0.7515
3.7730 1.6073 9.1741
Pr Sm Y
2 4 5
Direct
0.1455 0.8365 0.8724 Pr
0.8545 0.1635 0.1276 Pr
0.3197 0.8630 0.4977 Sm
0.6803 0.1370 0.5023 Sm
0.6770 0.7735 0.8725 Sm
0.3230 0.2265 0.1275 Sm
0.2151 0.3523 0.7803 Y
0.7849 0.6477 0.2197 Y
0.0000 0.5000 0.5000 Y
0.6523 0.3523 0.7803 Y
0.3477 0.6477 0.2197 Y
```

## Properties
E_form, meV/atom: 130
SG: No. 12



No. 3
Density functional theory data (PBE) for an optimized crystal structure of Pr2MgIn9.

```
Pr2MgIn9
1.0
-2.0332 -3.5719 2.3446
-0.1620 -2.5303 -3.9951
12.6101 -5.3072 2.8499
Pr Mg In
2 1 9
Direct
0.0000 0.0000 0.3309 Pr
0.0000 0.0000 0.6691 Pr
0.0000 0.0000 0.0000 Mg
0.5000 0.5000 0.0000 In
0.5000 0.5000 0.3336 In
0.5000 0.5000 0.6664 In
0.5000 0.0000 0.1559 In
0.5000 0.0000 0.5000 In
0.5000 0.0000 0.8441 In
0.0000 0.5000 0.1559 In
0.0000 0.5000 0.5000 In
0.0000 0.5000 0.8441 In
```

## Properties
E_form, meV/atom: -314
SG: No. 123



Question: Which formula does entry 1 have?
Answer: CaPaN2